{"formula": "Y2TaMn", "functional": "PBE", "state": "optimized geometry", "polymorph_energy_mev_per_atom": 607.0, "formation_enthalpy_0k_ev_per_fu": 3.057, "lattice": [[0.0000, 3.5058, 3.5058], [3.5058, 0.0000, 3.5058], [3.5058, 3.5058, 0.0000]], "species": ["Y", "Y", "Mn", "Ta"], "fractional_positions": [[0.7500, 0.7500, 0.7500], [0.2500, 0.2500, 0.2500], [0.0000, 0.0000, 0.0000], [0.5000, 0.5000, 0.5000]]}

{"formula": "Ac8Pr2Co3", "functional": "PBE", "state": "optimized geometry", "formation_enthalpy_0k_ev_per_fu": 1.590, "lattice": [[-6.3483, 3.2593, -2.5837], [-2.2536, -7.3157, -4.4344], [-4.9522, -6.7013, 2.9715]], "species": ["Pr", "Pr", "Ac", "Ac", "Ac", "Ac", "Ac", "Ac", "Ac", "Ac", "Co", "Co", "Co"], "fractional_positions": [[0.0197, 0.7646, 0.7646], [0.9803, 0.2354, 0.2354], [0.8184, 0.1812, 0.6525], [0.8184, 0.6525, 0.1813], [0.6347, 0.6404, 0.6404], [0.3639, 0.9005, 0.9005], [0.6361, 0.0995, 0.0995], [0.3653, 0.3596, 0.3596], [0.1816, 0.8188, 0.3475], [0.1816, 0.3475, 0.8188], [0.5000, 0.6930, 0.3070], [0.0000, 0.0000, 0.0000], [0.5000, 0.3070, 0.6930]]}

{"formula": "Sr2Zn2Br", "functional": "PBE", "state": "optimized geometry", "polymorph_energy_mev_per_atom": 0.0, "raw_formation_energy_ev_per_fu": -4.029, "lattice": [[-1.0802, -4.3188, 0.4458], [4.2875, 1.2629, 0.1997], [-1.4217, 3.5171, 8.1898]], "species": ["Sr", "Sr", "Zn", "Zn", "Br"], "fractional_positions": [[0.1594, 0.5800, 0.7395], [0.8406, 0.4200, 0.2605], [0.3351, 0.1677, 0.5028], [0.6649, 0.8323, 0.4972], [0.0000, 0.0000, 0.0000]]}

{"formula": "USi2Ir2", "functional": "PBE", "state": "optimized geometry", "raw_formation_energy_ev_per_fu": -3.965, "lattice": [[4.1055, 0.0000, 0.0000], [0.0000, 4.1055, 0.0000], [0.0000, 0.0000, 9.8955]], "species": ["Ir", "Ir", "Ir", "Ir", "U", "U", "Si", "Si", "Si", "Si"], "fractional_positions": [[0.5000, 0.0000, 0.3714], [0.0000, 0.5000, 0.6286], [0.0000, 0.0000, 0.0000], [0.5000, 0.5000, 0.0000], [0.0000, 0.5000, 0.2548], [0.5000, 0.0000, 0.7452], [0.0000, 0.5000, 0.8674], [0.5000, 0.5000, 0.5000], [0.0000, 0.0000, 0.5000], [0.5000, 0.0000, 0.1326]]}

{"formula": "EuFe2", "functional": "PBE", "state": "optimized geometry", "polymorph_energy_mev_per_atom": 12.8, "formation_enthalpy_0k_ev_per_fu": 1.076, "lattice": [[-1.9004, -1.5593, -4.6397], [-1.5983, -4.9591, -0.6497], [-5.1158, -1.0629, -0.5185]], "species": ["Fe", "Fe", "Fe", "Fe", "Eu", "Eu"], "fractional_positions": [[0.6250, 0.1250, 0.6250], [0.1250, 0.6250, 0.6250], [0.6250, 0.6250, 0.1250], [0.6250, 0.6250, 0.6250], [0.0000, 0.0000, 0.0000], [0.2500, 0.2500, 0.2500]]}

{"formula": "LaCuAs", "functional": "PBE", "state": "optimized geometry", "formation_enthalpy_0k_ev_per_fu": -2.794, "lattice": [[4.1999, 0.0000, 0.0000], [-2.1000, 3.6373, 0.0000], [0.0000, 0.0000, 4.2751]], "species": ["Cu", "As", "La"], "fractional_positions": [[0.6667, 0.3333, 0.1667], [0.0000, 0.0000, 0.1668], [0.3333, 0.6667, 0.6665]]}

{"formula": "In2Cu9Hg", "functional": "PBE", "state": "optimized geometry", "formation_enthalpy_0k_ev_per_fu": 0.960, "lattice": [[5.0346, 0.0000, 0.0000], [0.0000, 8.4296, 0.0000], [0.0000, 0.0000, 8.4296]], "species": ["Cu", "Cu", "Cu", "Cu", "Cu", "Cu", "Cu", "Cu", "Cu", "Cu", "Cu", "Cu", "Cu", "Cu", "Cu", "Cu", "Cu", "Cu", "In", "In", "In", "In", "Hg", "Hg"], "fractional_positions": [[0.5000, 0.5000, 0.0000], [0.7529, 0.6758, 0.8242], [0.7529, 0.8242, 0.3242], [0.7529, 0.1758, 0.6758], [0.5000, 0.2033, 0.9359], [0.2471, 0.8242, 0.3242], [0.5000, 0.2967, 0.4359], [0.5000, 0.0641, 0.2033], [0.2471, 0.1758, 0.6758], [0.5000, 0.5641, 0.2967], [0.2471, 0.6758, 0.8242], [0.7529, 0.3242, 0.1758], [0.5000, 0.0000, 0.5000], [0.5000, 0.7967, 0.0641], [0.5000, 0.7033, 0.5641], [0.5000, 0.9359, 0.7967], [0.5000, 0.4359, 0.7033], [0.2471, 0.3242, 0.1758], [0.0000, 0.6270, 0.1270], [0.0000, 0.8730, 0.6270], [0.0000, 0.3730, 0.8730], [0.0000, 0.1270, 0.3730], [0.0000, 0.5000, 0.5000], [0.0000, 0.0000, 0.0000]]}

{"formula": "Cu2O3", "functional": "PBE", "state": "optimized geometry", "raw_formation_energy_ev_per_fu": -1.876, "lattice": [[-0.2790, 0.8003, -3.4730], [-0.5936, -7.3992, -1.6574], [-9.8544, -2.0592, 0.3172]], "species": ["O", "O", "O", "O", "O", "O", "O", "O", "O", "O", "O", "O", "Cu", "Cu", "Cu", "Cu", "Cu", "Cu", "Cu", "Cu"], "fractional_positions": [[0.8063, 0.3683, 0.0535], [0.3063, 0.6317, 0.4465], [0.0216, 0.6357, 0.6969], [0.1937, 0.6317, 0.9465], [0.5216, 0.3643, 0.8031], [0.5830, 0.9211, 0.7071], [0.6937, 0.3683, 0.5535], [0.4170, 0.0789, 0.2929], [0.0830, 0.0789, 0.7929], [0.4784, 0.6357, 0.1969], [0.9170, 0.9211, 0.2071], [0.9784, 0.3643, 0.3031], [0.0831, 0.8573, 0.7427], [0.4169, 0.8573, 0.2427], [0.6060, 0.4869, 0.3726], [0.3940, 0.5131, 0.6274], [0.1060, 0.5131, 0.1274], [0.8940, 0.4869, 0.8726], [0.5831, 0.1427, 0.7573], [0.9169, 0.1427, 0.2573]]}

no.,size of the total moment (μB per formula unit),calculated volume (Å³ per cell)
1,0.0,86.2
2,0.0,474.6
3,0.0,150.0
4,1.4,166.8
5,11.2,102.4
6,0.0,65.3
7,0.0,357.7
8,0.2,263.8